1.
Pm6Tm12Al | PBE | relaxed

Its crystal system is trigonal.

It has space group R-3 (No. 148, hexagonal axes), with a = 12.1048 Å, b = 12.1048 Å, c = 14.0074 Å, α = 90.00°, β = 90.00° and γ = 120.00°. The inequivalent atoms are Pm at (0.0279, 0.4314, 0.2056), Tm at (0.0396, 0.1782, 0.3143), Tm at (0.0662, 0.8700, 0.9068) and Al at (0.0000, 0.0000, 0.5000).

---

2.
Be5ZnCu6 | PBE | relaxed

Its crystal system is orthorhombic.

It has space group Immm (No. 71), with a = 3.836 Å, b = 5.631 Å, c = 11.518 Å, α = 90.00°, β = 90.00° and γ = 90.00°. The inequivalent atoms are Be at (0.000, 0.000, 0.000), Be at (0.000, 0.000, 0.338), Be at (0.000, 0.500, 0.332), Zn at (0.000, 0.500, 0.000), Cu at (0.000, 0.239, 0.174) and Cu at (0.000, 0.272, 0.500).

---

3.
Sc4CrCu | PBE | relaxed

Its crystal system is cubic.

It has space group F-43m (No. 216), with a = 8.033 Å, b = 8.033 Å, c = 8.033 Å, α = 90.00°, β = 90.00° and γ = 90.00°. The inequivalent atoms are Sc at (0.124, 0.124, 0.124), Cr at (0.250, 0.250, 0.750) and Cu at (0.000, 0.000, 0.500).

---

DOS at the Fermi energy for the records above, in order: 98.9; 3.8; 29.2 states/eV/cell
DFT formation energy for the records above, in order: 10.11; -7.62; 61.01 kJ/mol of atoms